1.
Compound: TaVP
Source: the Alexandria database
Functional: GGA-PBEsol
Structure: optimized geometry

Magnetic moment = 0.0 μB/f.u.
Space group = No. 62

Lattice parameters (Å, degrees): 6.365 3.362 7.614 90.00 90.00 90.00
Fractional positions:
Ta 0.036 0.250 0.167
Ta 0.464 0.750 0.667
Ta 0.536 0.250 0.333
Ta 0.964 0.750 0.833
V 0.138 0.250 0.558
V 0.362 0.750 0.058
V 0.638 0.250 0.942
V 0.862 0.750 0.442
P 0.238 0.750 0.360
P 0.262 0.250 0.860
P 0.738 0.750 0.140
P 0.762 0.250 0.640

=====

2.
Compound: TaPW2
Source: the Alexandria database
Functional: GGA-PBEsol
Structure: optimized geometry

Magnetic moment = 0.0 μB/f.u.
Space group = No. 12

Lattice parameters (Å, degrees): 9.026 3.165 4.602 90.00 112.04 90.00
Fractional positions:
Ta 0.000 0.000 0.000
Ta 0.500 0.500 0.000
P 0.000 0.500 0.500
P 0.500 0.000 0.500
W 0.228 0.000 0.719
W 0.272 0.500 0.281
W 0.728 0.500 0.719
W 0.772 0.000 0.281

=====

3.
Compound: Ta2PW
Source: the Alexandria database
Functional: GGA-PBEsol
Structure: optimized geometry

Magnetic moment = 0.0 μB/f.u.
Space group = No. 10

Lattice parameters (Å, degrees): 4.387 3.271 4.454 90.00 101.40 90.00
Fractional positions:
Ta 0.000 0.000 0.000
Ta 0.000 0.500 0.500
P 0.500 0.000 0.500
W 0.500 0.500 0.000

=====

4.
Compound: TaPW3
Source: the Alexandria database
Functional: GGA-PBEsol
Structure: optimized geometry

Magnetic moment = 0.0 μB/f.u.
Space group = No. 221

Lattice parameters (Å, degrees): 4.400 4.400 4.400 90.00 90.00 90.00
Fractional positions:
Ta 0.000 0.000 0.000
P 0.500 0.500 0.500
W 0.000 0.500 0.500
W 0.500 0.000 0.500
W 0.500 0.500 0.000

=====

no.,DFT total energy (eV per cell)
1,-122.73
2,-91.99
3,-44.87
4,-55.94